# PBE-GGA K2Li2UO4, relaxed
# Formation energy (no corrections) (eV/f.u.): -19.34
# D(E_F) (states/eV/cell): 4.8
# Spin magnetization (μB per formula unit): 2.00
data_K2Li2UO4
_cell_length_a 12.541
_cell_length_b 3.502
_cell_length_c 6.690
_cell_angle_alpha 90.00
_cell_angle_beta 114.15
_cell_angle_gamma 90.00
_symmetry_space_group_name_H-M 'C 1 2/m 1'
_symmetry_Int_Tables_number 12
loop_
_symmetry_equiv_pos_as_xyz
'x,y,z'
'-x,-y,-z'
'-x,y,-z'
'x,-y,z'
'x+1/2,y+1/2,z'
'-x+1/2,-y+1/2,-z'
'-x+1/2,y+1/2,-z'
'x+1/2,-y+1/2,z'
loop_
_atom_site_label
_atom_site_type_symbol
_atom_site_fract_x
_atom_site_fract_y
_atom_site_fract_z
K1 K 0.140 0.000 0.072
Li1 Li 0.180 0.500 0.474
U1 U 0.000 0.000 0.500
O1 O 0.011 0.500 0.284
O2 O 0.194 0.000 0.631